First-principles (GGA-PBE) data for a relaxed structure of AgP2, as listed in the Alexandria database.

Results
Energy of formation = 743.5 meV per atom

```
AgP2
1.0
-3.056 1.715 2.973
1.140 -4.448 0.186
4.064 1.187 3.493
P Ag
4 2
Direct
0.333 0.667 0.750 P
0.667 0.333 0.250 P
0.000 0.000 0.000 P
0.000 0.000 0.500 P
0.667 0.333 0.750 Ag
0.333 0.667 0.250 Ag
```

***

First-principles (GGA-PBE) data for a relaxed structure of BiIr2Br, as listed in the Alexandria database.

Results
Uncorrected formation energy = 0.805 eV per atom

```
BiIr2Br
1.0
-3.537 3.176 -1.431
-3.470 -3.032 1.847
-3.036 3.589 6.859
Ir Br Bi
4 2 2
Direct
0.875 0.776 0.750 Ir
0.375 0.474 0.750 Ir
0.526 0.125 0.250 Ir
0.224 0.625 0.250 Ir
0.500 0.500 0.000 Br
0.250 0.750 0.500 Br
0.000 0.000 0.000 Bi
0.750 0.250 0.500 Bi
```

***

First-principles (GGA-PBE) data for a relaxed structure of Cu22Au, as listed in the Alexandria database.

Results
Energy of formation = 82.7 meV per atom

```
Cu22Au
1.0
9.347 0.000 0.000
4.674 8.095 0.000
4.674 2.698 7.632
Cu Au
44 2
Direct
0.323 0.057 0.296 Cu
0.677 0.204 0.443 Cu
0.943 0.677 0.704 Cu
0.500 0.500 0.500 Cu
0.057 0.323 0.296 Cu
0.677 0.677 0.443 Cu
0.512 0.238 0.738 Cu
0.204 0.677 0.177 Cu
0.000 0.000 0.000 Cu
0.000 0.000 0.500 Cu
0.057 0.323 0.823 Cu
0.796 0.323 0.557 Cu
0.677 0.943 0.704 Cu
0.500 0.000 0.000 Cu
0.488 0.762 0.262 Cu
0.323 0.796 0.557 Cu
0.943 0.677 0.177 Cu
0.000 0.500 0.000 Cu
0.488 0.488 0.262 Cu
0.943 0.204 0.177 Cu
0.204 0.677 0.443 Cu
0.762 0.762 0.988 Cu
0.796 0.323 0.823 Cu
0.677 0.943 0.177 Cu
0.677 0.204 0.177 Cu
0.500 0.000 0.500 Cu
0.238 0.512 0.738 Cu
0.238 0.238 0.012 Cu
0.488 0.762 0.988 Cu
0.323 0.057 0.823 Cu
0.000 0.500 0.500 Cu
0.500 0.500 0.000 Cu
0.323 0.323 0.296 Cu
0.323 0.323 0.557 Cu
0.796 0.057 0.823 Cu
0.057 0.796 0.823 Cu
0.238 0.512 0.012 Cu
0.677 0.677 0.704 Cu
0.204 0.943 0.177 Cu
0.512 0.512 0.738 Cu
0.512 0.238 0.012 Cu
0.762 0.488 0.262 Cu
0.323 0.796 0.823 Cu
0.762 0.488 0.988 Cu
0.125 0.125 0.625 Au
0.875 0.875 0.375 Au
```

***

First-principles (GGA-PBE) data for a relaxed structure of NdTmIr2, as listed in the Alexandria database.

Results
Energy of formation = -692.9 meV per atom

```
NdTmIr2
1.0
-0.876 2.276 -4.255
-4.195 -0.824 -2.403
-3.416 3.511 -0.245
Ir Nd Tm
2 1 1
Direct
0.750 0.750 0.750 Ir
0.250 0.250 0.250 Ir
0.500 0.500 0.500 Nd
0.000 0.000 0.000 Tm
```

***

First-principles (GGA-PBE) data for a relaxed structure of Nd2Sn4Ir3Au, as listed in the Alexandria database.

Results
Energy of formation = -529.1 meV per atom

```
Nd2Sn4Ir3Au
1.0
4.549 0.000 0.000
0.000 4.549 0.000
0.000 0.000 10.894
Sn Au Ir Nd
4 1 3 2
Direct
0.500 0.500 0.000 Sn
0.000 0.500 0.365 Sn
0.000 0.000 0.000 Sn
0.500 0.000 0.635 Sn
0.500 0.500 0.500 Au
0.000 0.000 0.500 Ir
0.000 0.500 0.129 Ir
0.500 0.000 0.871 Ir
0.500 0.000 0.244 Nd
0.000 0.500 0.756 Nd
```

***

First-principles (GGA-PBE) data for a relaxed structure of NbTlSn3, as listed in the Alexandria database.

Results
Energy of formation = 198.3 meV per atom

```
NbTlSn3
1.0
-3.891 -1.125 -3.612
0.250 -5.246 1.366
-3.775 0.813 3.813
Nb Tl Sn
1 1 3
Direct
0.000 0.000 0.000 Nb
0.500 0.500 0.500 Tl
0.000 0.500 0.000 Sn
0.500 0.000 0.000 Sn
0.000 0.000 0.500 Sn
```

***

First-principles (GGA-PBE) data for a relaxed structure of KBa2Cd10, as listed in the Alexandria database.

Results
Energy of formation = -91.7 meV per atom

```
KBa2Cd10
1.0
6.299 0.000 0.000
0.000 7.247 0.000
0.000 0.000 20.277
Cd Ba K
20 4 2
Direct
0.264 0.331 0.657 Cd
0.736 0.669 0.343 Cd
0.000 0.028 0.571 Cd
0.000 0.972 0.429 Cd
0.000 0.330 0.351 Cd
0.000 0.170 0.851 Cd
0.000 0.031 0.720 Cd
0.000 0.469 0.220 Cd
0.736 0.831 0.843 Cd
0.000 0.528 0.929 Cd
0.736 0.169 0.157 Cd
0.264 0.831 0.843 Cd
0.264 0.669 0.343 Cd
0.000 0.969 0.280 Cd
0.000 0.670 0.649 Cd
0.000 0.472 0.071 Cd
0.264 0.169 0.157 Cd
0.736 0.331 0.657 Cd
0.000 0.531 0.780 Cd
0.000 0.830 0.149 Cd
0.500 0.343 0.826 Ba
0.500 0.843 0.674 Ba
0.500 0.157 0.326 Ba
0.500 0.657 0.174 Ba
0.000 0.000 0.000 K
0.000 0.500 0.500 K
```

***

First-principles (GGA-PBE) data for a relaxed structure of Tm2BiPd2, as listed in the Alexandria database.

Results
Energy of formation = -883.3 meV per atom

```
Tm2BiPd2
1.0
-1.097 -3.176 0.999
7.366 -2.881 -1.071
1.791 1.763 7.575
Bi Tm Pd
2 4 4
Direct
0.000 0.000 0.000 Bi
0.000 0.500 0.500 Bi
0.500 0.165 0.665 Tm
0.500 0.335 0.165 Tm
0.500 0.665 0.835 Tm
0.500 0.835 0.335 Tm
0.000 0.873 0.627 Pd
0.000 0.627 0.127 Pd
0.000 0.127 0.373 Pd
0.000 0.373 0.873 Pd
```

***

- Number 1 is which compound?
  AgP2